A geometry-optimized Li3VAu12 structure. Source: Alexandria, functional PBE.

The structure in extended XYZ format:
```
16
Lattice="4.085 0.000 0.000 0.000 4.085 0.000 0.000 0.000 16.333" Properties=species:S:1:pos:R:3 pbc="T T T"
Li 0.000 0.000 0.000
Li 0.000 0.000 4.029
Li 0.000 0.000 12.304
V 0.000 0.000 8.166
Au 0.000 2.043 2.025
Au 0.000 2.043 6.099
Au 0.000 2.043 10.234
Au 0.000 2.043 14.308
Au 2.043 0.000 2.025
Au 2.043 0.000 6.099
Au 2.043 0.000 10.234
Au 2.043 0.000 14.308
Au 2.043 2.043 0.000
Au 2.043 2.043 4.059
Au 2.043 2.043 8.166
Au 2.043 2.043 12.274
```

Output
The calculation puts the volume at 273 Å³/cell. The value obtained for the total energy is -0.13304 Ha/atom.